The following is a DFT calculation (GGA-PBE) of ScPCl2 after structural relaxation.

Calculated values
Relative energy among the computed polymorphs, meV/atom: 436
Total magnetic moment, μB/f.u.: 0.56
Volume, Å³/cell: 289.6

a = 3.3446 Å, b = 3.3446 Å, c = 29.8952 Å
α = 90.00°, β = 90.00°, γ = 120.00°
Space group R-3m (No. 166, hexagonal axes)
Inequivalent atoms, fractional coordinates:
Sc (0.0000, 0.0000, 0.0000) (multiplicity 3)
P (0.0000, 0.0000, 0.5000) (multiplicity 3)
Cl (0.0000, 0.0000, 0.2788) (multiplicity 6)

=====

The following is a DFT calculation (GGA-PBE) of ScPCl2 after structural relaxation.

Calculated values
Relative energy among the computed polymorphs, meV/atom: 26
Total magnetic moment, μB/f.u.: 0.00
Volume, Å³/cell: 207.2

a = 14.6891 Å, b = 3.4866 Å, c = 4.0540 Å
α = 90.00°, β = 93.50°, γ = 90.00°
Space group C2/m (No. 12)
Inequivalent atoms, fractional coordinates:
Sc (0.0000, 0.0000, 0.0000) (multiplicity 2)
P (0.0000, 0.5000, 0.5000) (multiplicity 2)
Cl (0.1377, 0.5000, 0.2065) (multiplicity 4)

=====

The following is a DFT calculation (GGA-PBE) of ScPCl2 after structural relaxation.

Calculated values
Relative energy among the computed polymorphs, meV/atom: 231
Total magnetic moment, μB/f.u.: 0.01
Volume, Å³/cell: 217.1

a = 3.1850 Å, b = 4.7552 Å, c = 14.3362 Å
α = 90.00°, β = 90.00°, γ = 90.00°
Space group Immm (No. 71)
Inequivalent atoms, fractional coordinates:
Sc (0.0000, 0.0000, 0.0000) (multiplicity 2)
P (0.0000, 0.0000, 0.5000) (multiplicity 2)
Cl (0.0000, 0.5000, 0.3606) (multiplicity 4)

=====

The following is a DFT calculation (GGA-PBE) of ScPCl2 after structural relaxation.

Calculated values
Relative energy among the computed polymorphs, meV/atom: 722
Total magnetic moment, μB/f.u.: 0.00
Volume, Å³/cell: 76.9

a = 4.2016 Å, b = 4.2016 Å, c = 4.3581 Å
α = 90.00°, β = 90.00°, γ = 90.00°
Space group P4/mmm (No. 123)
Inequivalent atoms, fractional coordinates:
Sc (0.0000, 0.0000, 0.0000) (multiplicity 1)
P (0.5000, 0.5000, 0.0000) (multiplicity 1)
Cl (0.0000, 0.5000, 0.5000) (multiplicity 2)

=====

The following is a DFT calculation (GGA-PBE) of ScPCl2 after structural relaxation.

Calculated values
Relative energy among the computed polymorphs, meV/atom: 65
Total magnetic moment, μB/f.u.: 0.00
Volume, Å³/cell: 220.2

a = 9.0609 Å, b = 3.6091 Å, c = 6.8310 Å
α = 90.00°, β = 99.66°, γ = 90.00°
Space group Cm (No. 8)
Inequivalent atoms, fractional coordinates:
Sc (0.0000, 0.0000, 0.0000) (multiplicity 2)
P (0.2073, 0.5000, 0.0574) (multiplicity 2)
Cl (0.0773, 0.5000, 0.3023) (multiplicity 2)
Cl (0.3766, 0.0000, 0.7539) (multiplicity 2)

=====

The following is a DFT calculation (GGA-PBE) of ScPSeCl2 after structural relaxation.

Calculated values
Relative energy among the computed polymorphs, meV/atom: 0
Total magnetic moment, μB/f.u.: 0.35
Volume, Å³/cell: 126.9

a = 4.7301 Å, b = 4.7301 Å, c = 5.6719 Å
α = 90.00°, β = 90.00°, γ = 90.00°
Space group P4/mmm (No. 123)
Inequivalent atoms, fractional coordinates:
Sc (0.0000, 0.0000, 0.0000) (multiplicity 1)
P (0.0000, 0.0000, 0.5000) (multiplicity 1)
Se (0.5000, 0.5000, 0.5000) (multiplicity 1)
Cl (0.0000, 0.5000, 0.0000) (multiplicity 2)

=====

The following is a DFT calculation (GGA-PBE) of ScPSeCl2 after structural relaxation.

Calculated values
Relative energy among the computed polymorphs, meV/atom: 713
Total magnetic moment, μB/f.u.: 0.71
Volume, Å³/cell: 121.3

a = 4.8423 Å, b = 4.8423 Å, c = 5.1741 Å
α = 90.00°, β = 90.00°, γ = 90.00°
Space group P4/mmm (No. 123)
Inequivalent atoms, fractional coordinates:
Sc (0.0000, 0.0000, 0.0000) (multiplicity 1)
P (0.5000, 0.5000, 0.0000) (multiplicity 1)
Se (0.5000, 0.5000, 0.5000) (multiplicity 1)
Cl (0.0000, 0.5000, 0.5000) (multiplicity 2)

=====

The following is a DFT calculation (GGA-PBE) of ScSiPCl2 after structural relaxation.

Calculated values
Relative energy among the computed polymorphs, meV/atom: 172
Total magnetic moment, μB/f.u.: 0.51
Volume, Å³/cell: 105.2

a = 4.6378 Å, b = 4.6378 Å, c = 4.8893 Å
α = 90.00°, β = 90.00°, γ = 90.00°
Space group P4/mmm (No. 123)
Inequivalent atoms, fractional coordinates:
Sc (0.0000, 0.0000, 0.0000) (multiplicity 1)
Si (0.5000, 0.5000, 0.5000) (multiplicity 1)
P (0.5000, 0.5000, 0.0000) (multiplicity 1)
Cl (0.0000, 0.5000, 0.5000) (multiplicity 2)

=====

The following is a DFT calculation (GGA-PBE) of ScSiPCl2 after structural relaxation.

Calculated values
Relative energy among the computed polymorphs, meV/atom: 0
Total magnetic moment, μB/f.u.: 0.00
Volume, Å³/cell: 123.0

a = 4.7770 Å, b = 4.7770 Å, c = 5.3889 Å
α = 90.00°, β = 90.00°, γ = 90.00°
Space group P4/mmm (No. 123)
Inequivalent atoms, fractional coordinates:
Sc (0.0000, 0.0000, 0.0000) (multiplicity 1)
Si (0.5000, 0.5000, 0.5000) (multiplicity 1)
P (0.0000, 0.0000, 0.5000) (multiplicity 1)
Cl (0.0000, 0.5000, 0.0000) (multiplicity 2)

=====

The following is a DFT calculation (GGA-PBE) of ScSiP2Cl after structural relaxation.

Calculated values
Relative energy among the computed polymorphs, meV/atom: 0
Total magnetic moment, μB/f.u.: 0.00
Volume, Å³/cell: 96.8

a = 4.5720 Å, b = 4.5720 Å, c = 4.6302 Å
α = 90.00°, β = 90.00°, γ = 90.00°
Space group P4/mmm (No. 123)
Inequivalent atoms, fractional coordinates:
Sc (0.0000, 0.0000, 0.0000) (multiplicity 1)
Si (0.5000, 0.5000, 0.5000) (multiplicity 1)
P (0.0000, 0.5000, 0.5000) (multiplicity 2)
Cl (0.5000, 0.5000, 0.0000) (multiplicity 1)

=====

The following is a DFT calculation (GGA-PBE) of ScSiP2Cl after structural relaxation.

Calculated values
Relative energy among the computed polymorphs, meV/atom: 295
Total magnetic moment, μB/f.u.: 0.00
Volume, Å³/cell: 120.4

a = 5.0276 Å, b = 5.0276 Å, c = 4.7640 Å
α = 90.00°, β = 90.00°, γ = 90.00°
Space group P4/mmm (No. 123)
Inequivalent atoms, fractional coordinates:
Sc (0.0000, 0.0000, 0.0000) (multiplicity 1)
Si (0.5000, 0.5000, 0.5000) (multiplicity 1)
P (0.0000, 0.5000, 0.0000) (multiplicity 2)
Cl (0.0000, 0.0000, 0.5000) (multiplicity 1)

=====

The following is a DFT calculation (GGA-PBE) of ScSnP2Cl after structural relaxation.

Calculated values
Relative energy among the computed polymorphs, meV/atom: 491
Total magnetic moment, μB/f.u.: 0.00
Volume, Å³/cell: 125.7

a = 5.0274 Å, b = 5.0274 Å, c = 4.9723 Å
α = 90.00°, β = 90.00°, γ = 90.00°
Space group P4/mmm (No. 123)
Inequivalent atoms, fractional coordinates:
Sc (0.0000, 0.0000, 0.0000) (multiplicity 1)
Sn (0.5000, 0.5000, 0.5000) (multiplicity 1)
P (0.0000, 0.5000, 0.5000) (multiplicity 2)
Cl (0.5000, 0.5000, 0.0000) (multiplicity 1)

=====

> Among the records above, which one has the lowest volume?

number 4